No. 1
The following is a PBE calculation of a relaxed SrSi2Br2 crystal, from Alexandria via LeMat-Bulk. Values from VASP.

Cell and atoms, written as Quantum ESPRESSO input:
```
&SYSTEM
  ibrav = 0, nat = 5, ntyp = 3
/
ATOMIC_SPECIES
Br 79.90 Br.upf
Si 28.09 Si.upf
Sr 87.62 Sr.upf
CELL_PARAMETERS angstrom
-0.782 3.517 -0.124
-0.660 -0.271 -3.534
-12.849 -0.985 0.638
ATOMIC_POSITIONS crystal
Br 0.571 0.571 0.858
Br 0.429 0.429 0.142
Si 0.750 0.250 0.500
Si 0.250 0.750 0.500
Sr 0.000 0.000 0.000
```

Results
- Size of the total moment: 0.0 μB/cell
- Formation energy (no corrections): -0.707 eV/atom
- Polymorph energy (0 for the lowest one): 0.0 meV per atom

***

No. 2
The following is a PBE calculation of a relaxed NpAl3ZnAu crystal, from Alexandria via LeMat-Bulk. Values from VASP.

Cell and atoms, written as Quantum ESPRESSO input:
```
&SYSTEM
  ibrav = 0, nat = 12, ntyp = 4
/
ATOMIC_SPECIES
Al 26.98 Al.upf
Zn 65.41 Zn.upf
Au 196.97 Au.upf
Np 237.00 Np.upf
CELL_PARAMETERS angstrom
5.949 0.000 0.000
0.000 6.078 0.000
0.000 -3.039 6.484
ATOMIC_POSITIONS crystal
Al 0.750 0.869 0.739
Al 0.000 0.711 0.000
Al 0.250 0.131 0.261
Al 0.500 0.711 0.000
Al 0.000 0.289 0.000
Al 0.500 0.289 0.000
Zn 0.750 0.092 0.184
Zn 0.250 0.908 0.816
Au 0.250 0.336 0.672
Au 0.750 0.664 0.328
Np 0.750 0.307 0.615
Np 0.250 0.693 0.385
```

Results
- Size of the total moment: 9.7 μB/cell
- Formation energy: 0.08 eV/atom

***

No. 3
The following is a PBE calculation of a relaxed TbNd4Dy3 crystal, from Alexandria via LeMat-Bulk. Values from VASP.

Cell and atoms, written as Quantum ESPRESSO input:
```
&SYSTEM
  ibrav = 0, nat = 16, ntyp = 3
/
ATOMIC_SPECIES
Nd 144.24 Nd.upf
Dy 162.50 Dy.upf
Tb 158.93 Tb.upf
CELL_PARAMETERS angstrom
6.325 0.000 0.000
0.000 7.337 0.000
0.000 0.000 11.628
ATOMIC_POSITIONS crystal
Nd 0.482 0.873 0.249
Nd 0.482 0.873 0.751
Nd 0.982 0.127 0.749
Nd 0.145 0.872 0.000
Nd 0.648 0.128 0.000
Nd 0.982 0.127 0.251
Nd 0.148 0.872 0.500
Nd 0.645 0.128 0.500
Dy 0.481 0.378 0.250
Dy 0.981 0.622 0.750
Dy 0.148 0.379 0.500
Dy 0.481 0.378 0.750
Dy 0.981 0.622 0.250
Dy 0.648 0.621 0.000
Tb 0.649 0.622 0.500
Tb 0.149 0.378 0.000
```

Results
- Size of the total moment: 0.0 μB/cell
- Formation energy: 0.03 eV/atom
- Polymorph energy (0 for the lowest one): 0.0 meV per atom

***

Number 1: E_tot -3.882 eV/atom. Number 2: E_tot -4.704 eV/atom. Number 3: E_tot -4.660 eV/atom.